1.
Below is a geometry-optimized Ag2Pd6Se structure, with properties calculated at the PBE level.

abc: 7.1878 7.1878 5.8877
angles: 93.90 93.90 94.03
Fractional positions:
Ag1 0.1299 0.1617 0.3077
Ag2 0.1617 0.1299 0.8077
Ag3 0.8383 0.8701 0.1923
Ag4 0.8701 0.8383 0.6923
Pd1 0.0313 0.4829 0.7385
Pd2 0.1851 0.8023 0.0216
Pd3 0.1977 0.8149 0.4784
Pd4 0.3186 0.4423 0.0954
Pd5 0.4423 0.3186 0.5954
Pd6 0.4829 0.0313 0.2385
Pd7 0.5171 0.9687 0.7615
Pd8 0.5577 0.6814 0.4046
Pd9 0.6814 0.5577 0.9046
Pd10 0.8023 0.1851 0.5216
Pd11 0.8149 0.1977 0.9784
Pd12 0.9687 0.5171 0.2615
Se1 0.3660 0.6340 0.7500
Se2 0.6340 0.3660 0.2500

Summary:
E_form (uncorrected)   -0.04 eV per atom
Space-group type   No. 15
DOS(E_F)   0.52 states/eV per atom
V   301.91 Å³ per cell
Size of the total moment   0.00 μB per formula unit

=====

2.
Below is a geometry-optimized AgPdSe structure, with properties calculated at the PBE level.

abc: 3.5483 3.5483 9.1455
angles: 90.00 90.00 90.00
Fractional positions:
Ag1 0.0000 0.0000 0.0000
Ag2 0.5000 0.5000 0.5000
Pd1 0.0000 0.0000 0.2996
Pd2 0.5000 0.5000 0.7996
Se1 0.0000 0.0000 0.7170
Se2 0.5000 0.5000 0.2170

Summary:
Energy relative to the lowest polymorph listed for this composition   0.0616 eV per atom
E_form (uncorrected)   -0.05 eV per atom
Space-group type   No. 107
DOS(E_F)   0.48 states/eV per atom
V   115.15 Å³ per cell
Size of the total moment   0.00 μB per formula unit

=====

3.
Below is a geometry-optimized AgPd2Se2 structure, with properties calculated at the PBE level.

abc: 4.9170 4.9170 8.4243
angles: 90.00 90.00 90.00
Fractional positions:
Ag1 0.0000 0.0000 0.0000
Ag2 0.5000 0.5000 0.5000
Pd1 0.0000 0.0000 0.3320
Pd2 0.0000 0.0000 0.6680
Pd3 0.5000 0.5000 0.1680
Pd4 0.5000 0.5000 0.8320
Se1 0.0000 0.5000 0.2500
Se2 0.0000 0.5000 0.7500
Se3 0.5000 0.0000 0.2500
Se4 0.5000 0.0000 0.7500

Summary:
Energy relative to the lowest polymorph listed for this composition   0.0312 eV per atom
E_form (uncorrected)   -0.02 eV per atom
Space-group type   No. 139
DOS(E_F)   0.63 states/eV per atom
V   203.68 Å³ per cell
Size of the total moment   0.00 μB per formula unit

=====

4.
Below is a geometry-optimized AgPdSe structure, with properties calculated at the PBE level.

abc: 4.3367 4.3367 3.4601
angles: 90.00 90.00 120.00
Fractional positions:
Ag1 0.0000 0.0000 0.0000
Pd1 0.6667 0.3333 0.5000
Se1 0.3333 0.6667 0.5000

Summary:
Energy relative to the lowest polymorph listed for this composition   0.0973 eV per atom
E_form (uncorrected)   -0.01 eV per atom
Space-group type   No. 187
DOS(E_F)   0.81 states/eV per atom
V   56.36 Å³ per cell
Size of the total moment   0.00 μB per formula unit

=====

5.
Below is a geometry-optimized AgPd2Se2 structure, with properties calculated at the PBE level.

abc: 4.0403 4.0403 12.2302
angles: 90.00 90.00 90.00
Fractional positions:
Ag1 0.0000 0.0000 0.0000
Ag2 0.5000 0.5000 0.5000
Pd1 0.0000 0.5000 0.2500
Pd2 0.0000 0.5000 0.7500
Pd3 0.5000 0.0000 0.2500
Pd4 0.5000 0.0000 0.7500
Se1 0.0000 0.0000 0.3820
Se2 0.0000 0.0000 0.6180
Se3 0.5000 0.5000 0.1180
Se4 0.5000 0.5000 0.8820

Summary:
Energy relative to the lowest polymorph listed for this composition   0.0783 eV per atom
E_form (uncorrected)   0.03 eV per atom
Space-group type   No. 139
DOS(E_F)   0.70 states/eV per atom
V   199.64 Å³ per cell
Size of the total moment   0.00 μB per formula unit

=====

6.
Below is a geometry-optimized AgPd3Se structure, with properties calculated at the PBE level.

abc: 6.3194 6.3194 5.3553
angles: 90.00 90.00 120.00
Fractional positions:
Ag1 0.3333 0.6667 0.2500
Ag2 0.6667 0.3333 0.7500
Pd1 0.1919 0.3839 0.7500
Pd2 0.1919 0.8081 0.7500
Pd3 0.3839 0.1919 0.2500
Pd4 0.6161 0.8081 0.7500
Pd5 0.8081 0.1919 0.2500
Pd6 0.8081 0.6161 0.2500
Se1 0.0000 0.0000 0.0000
Se2 0.0000 0.0000 0.5000

Summary:
Energy relative to the lowest polymorph listed for this composition   0.3285 eV per atom
E_form (uncorrected)   0.17 eV per atom
Space-group type   No. 194
DOS(E_F)   0.70 states/eV per atom
V   185.22 Å³ per cell
Size of the total moment   0.00 μB per formula unit

=====

7.
Below is a geometry-optimized AgPd3Se structure, with properties calculated at the PBE level.

abc: 4.6752 4.6752 4.6752
angles: 90.00 90.00 90.00
Fractional positions:
Ag1 0.0000 0.0000 0.0000
Pd1 0.0000 0.5000 0.5000
Pd2 0.5000 0.0000 0.5000
Pd3 0.5000 0.5000 0.0000
Se1 0.5000 0.5000 0.5000

Summary:
Energy relative to the lowest polymorph listed for this composition   0.2947 eV per atom
E_form (uncorrected)   0.14 eV per atom
Space-group type   No. 221
DOS(E_F)   0.45 states/eV per atom
V   102.19 Å³ per cell
Size of the total moment   0.00 μB per formula unit

=====

8.
Below is a geometry-optimized AgPd3Se structure, with properties calculated at the PBE level.

abc: 8.7674 8.7674 8.7674
angles: 90.00 90.00 90.00
Fractional positions:
Ag1 0.0944 0.0944 0.0944
Ag2 0.0944 0.4056 0.5944
Ag3 0.4056 0.5944 0.0944
Ag4 0.4056 0.9056 0.5944
Ag5 0.5944 0.0944 0.4056
Ag6 0.5944 0.4056 0.9056
Ag7 0.9056 0.5944 0.4056
Ag8 0.9056 0.9056 0.9056
Pd1 0.0868 0.7224 0.1375
Pd2 0.0868 0.7776 0.6375
Pd3 0.1375 0.0868 0.7224
Pd4 0.1375 0.4132 0.2224
Pd5 0.2224 0.1375 0.4132
Pd6 0.2224 0.3625 0.9132
Pd7 0.2776 0.6375 0.4132
Pd8 0.2776 0.8625 0.9132
Pd9 0.3625 0.5868 0.7224
Pd10 0.3625 0.9132 0.2224
Pd11 0.4132 0.2224 0.1375
Pd12 0.4132 0.2776 0.6375
Pd13 0.5868 0.7224 0.3625
Pd14 0.5868 0.7776 0.8625
Pd15 0.6375 0.0868 0.7776
Pd16 0.6375 0.4132 0.2776
Pd17 0.7224 0.1375 0.0868
Pd18 0.7224 0.3625 0.5868
Pd19 0.7776 0.6375 0.0868
Pd20 0.7776 0.8625 0.5868
Pd21 0.8625 0.5868 0.7776
Pd22 0.8625 0.9132 0.2776
Pd23 0.9132 0.2224 0.3625
Pd24 0.9132 0.2776 0.8625
Se1 0.1231 0.6231 0.8769
Se2 0.1231 0.8769 0.3769
Se3 0.3769 0.1231 0.8769
Se4 0.3769 0.3769 0.3769
Se5 0.6231 0.6231 0.6231
Se6 0.6231 0.8769 0.1231
Se7 0.8769 0.1231 0.6231
Se8 0.8769 0.3769 0.1231

Summary:
Energy relative to the lowest polymorph listed for this composition   0.0000 eV per atom
E_form (uncorrected)   -0.16 eV per atom
Space-group type   No. 205
DOS(E_F)   0.30 states/eV per atom
V   673.92 Å³ per cell
Size of the total moment   0.00 μB per formula unit

=====

9.
Below is a geometry-optimized AgPdSe2 structure, with properties calculated at the PBE level.

abc: 6.6561 6.6561 6.6561
angles: 90.00 90.00 90.00
Fractional positions:
Ag1 0.0000 0.0000 0.0000
Ag2 0.0000 0.5000 0.5000
Ag3 0.5000 0.0000 0.5000
Ag4 0.5000 0.5000 0.0000
Pd1 0.0000 0.0000 0.5000
Pd2 0.0000 0.5000 0.0000
Pd3 0.5000 0.0000 0.0000
Pd4 0.5000 0.5000 0.5000
Se1 0.2500 0.2500 0.2500
Se2 0.2500 0.2500 0.7500
Se3 0.2500 0.7500 0.2500
Se4 0.2500 0.7500 0.7500
Se5 0.7500 0.2500 0.2500
Se6 0.7500 0.2500 0.7500
Se7 0.7500 0.7500 0.2500
Se8 0.7500 0.7500 0.7500

Summary:
E_form (uncorrected)   0.13 eV per atom
Space-group type   No. 225
DOS(E_F)   0.99 states/eV per atom
V   294.89 Å³ per cell
Size of the total moment   0.00 μB per formula unit

=====

10.
Below is a geometry-optimized AgPd2Se4 structure, with properties calculated at the PBE level.

abc: 7.6869 7.6869 7.6869
angles: 120.28 120.28 89.51
Fractional positions:
Ag1 0.3750 0.6250 0.7500
Ag2 0.6250 0.3750 0.2500
Pd1 0.0000 0.0000 0.0000
Pd2 0.0000 0.0000 0.5000
Pd3 0.0000 0.5000 0.0000
Pd4 0.5000 0.0000 0.5000
Se1 0.2046 0.2337 0.9709
Se2 0.2337 0.2046 0.4709
Se3 0.2337 0.7628 0.0291
Se4 0.2372 0.7663 0.4709
Se5 0.7628 0.2337 0.5291
Se6 0.7663 0.2372 0.9709
Se7 0.7663 0.7954 0.5291
Se8 0.7954 0.7663 0.0291

Summary:
E_form (uncorrected)   -0.23 eV per atom
Space-group type   No. 141
DOS(E_F)   0.45 states/eV per atom
V   319.78 Å³ per cell
Size of the total moment   0.00 μB per formula unit

=====

11.
Below is a geometry-optimized AgPd4Se8 structure, with properties calculated at the PBE level.

abc: 7.5980 7.5980 7.5980
angles: 60.00 60.00 60.00
Fractional positions:
Ag1 0.0000 0.0000 0.0000
Pd1 0.3773 0.3773 0.3773
Pd2 0.3773 0.3773 0.8680
Pd3 0.3773 0.8680 0.3773
Pd4 0.8680 0.3773 0.3773
Se1 0.1403 0.1403 0.1403
Se2 0.1403 0.1403 0.5792
Se3 0.1403 0.5792 0.1403
Se4 0.1632 0.6123 0.6123
Se5 0.5792 0.1403 0.1403
Se6 0.6123 0.1632 0.6123
Se7 0.6123 0.6123 0.1632
Se8 0.6123 0.6123 0.6123

Summary:
E_form (uncorrected)   -0.23 eV per atom
Space-group type   No. 216
DOS(E_F)   0.38 states/eV per atom
V   310.15 Å³ per cell
Size of the total moment   0.00 μB per formula unit

=====

12.
Below is a geometry-optimized Ag2PdSe structure, with properties calculated at the PBE level.

abc: 2.8764 2.8764 31.7070
angles: 90.00 90.00 120.00
Fractional positions:
Ag1 0.0000 0.0000 0.0846
Ag2 0.0000 0.0000 0.9154
Ag3 0.3333 0.6667 0.5820
Ag4 0.3333 0.6667 0.7513
Ag5 0.6667 0.3333 0.2487
Ag6 0.6667 0.3333 0.4180
Pd1 0.0000 0.0000 0.0000
Pd2 0.3333 0.6667 0.6667
Pd3 0.6667 0.3333 0.3333
Se1 0.0000 0.0000 0.5000
Se2 0.3333 0.6667 0.1667
Se3 0.6667 0.3333 0.8333

Summary:
E_form (uncorrected)   0.29 eV per atom
Space-group type   No. 166
DOS(E_F)   0.53 states/eV per atom
V   227.19 Å³ per cell
Size of the total moment   0.00 μB per formula unit